# 1
Below is CaPbSe after structural relaxation, with properties calculated at the PBE-GGA level.

- E_form (uncorrected) (eV/atom) = -0.41
- SG = F-43m
- uncorrected energy (eV per cell) = -10.4
- offset from the most stable computed form (eV/atom) = 0.576
- N(E_F) (states/eV/cell) = 1.3
- volume (Å³ per cell) = 94.9
- M_tot (μB per formula unit) = 0.0

```
CaPbSe
1.0
0.0000 3.6207 3.6207
3.6207 0.0000 3.6207
3.6207 3.6207 0.0000
Ca Pb Se
1 1 1
Cartesian
0.0000 0.0000 0.0000
1.8104 1.8104 1.8104
5.4311 5.4311 5.4311
```

# 2
Below is BaTaCd after structural relaxation, with properties calculated at the PBE-GGA level.

- SG = I4mm
- uncorrected energy (eV per cell) = -12.7
- offset from the most stable computed form (eV/atom) = 0.000
- N(E_F) (states/eV/cell) = 3.2
- volume (Å³ per cell) = 79.1
- M_tot (μB per formula unit) = 0.0

```
BaTaCd
1.0
-1.5992 1.5992 7.7308
1.5992 -1.5992 7.7308
1.5992 1.5992 -7.7308
Ba Ta Cd
1 1 1
Cartesian
0.0000 0.0000 0.0000
0.0000 0.0000 4.8542
0.0000 0.0000 10.6336
```

# 3
Below is Li2Ca2Ge3 after structural relaxation, with properties calculated at the PBE-GGA level.

- SG = C2/m
- uncorrected energy (eV per cell) = -24.6
- offset from the most stable computed form (eV/atom) = 0.098
- N(E_F) (states/eV/cell) = 2.0
- volume (Å³ per cell) = 151.9
- M_tot (μB per formula unit) = 0.0

```
Li2Ca2Ge3
1.0
5.8212 -2.1858 0.0000
5.8212 2.1858 0.0000
-3.0064 0.0000 5.9698
Li Ca Ge
2 2 3
Cartesian
0.9423 0.0000 1.7426
7.6937 0.0000 4.2272
-0.8625 0.0000 4.6592
9.4985 0.0000 1.3106
3.0895 0.0000 3.2913
5.8212 0.0000 0.0000
5.5464 0.0000 2.6785
```

# 4
Below is Hf3MoIr after structural relaxation, with properties calculated at the PBE-GGA level.

- SG = Pm-3m
- uncorrected energy (eV per cell) = -44.6
- offset from the most stable computed form (eV/atom) = 0.320
- N(E_F) (states/eV/cell) = 6.8
- volume (Å³ per cell) = 116.0
- M_tot (μB per formula unit) = 0.0

```
Hf3MoIr
1.0
4.8771 0.0000 0.0000
0.0000 4.8771 0.0000
0.0000 0.0000 4.8771
Hf Mo Ir
3 1 1
Cartesian
0.0000 0.0000 2.4385
0.0000 2.4385 0.0000
2.4385 0.0000 0.0000
0.0000 0.0000 0.0000
2.4385 2.4385 2.4385
```